# ZrCrIO2 | Alexandria | GGA+U | relaxed
# Energy = -6.997 eV/atom
# Total magnetization = 5.00 μB per cell
# D(E_F) = 0.44 states/eV/f.u.
# Volume = 21.058 Å³/atom
data_ZrCrIO2
_chemical_formula_sum 'Zr1 Cr1 I1 O2'
_symmetry_space_group_name_H-M 'P 4/m m m'
_symmetry_Int_Tables_number 123
_symmetry_space_group_name_Hall '-P 4 2'
_cell_length_a 4.125
_cell_length_b 4.125
_cell_length_c 6.187
_cell_angle_alpha 90.00
_cell_angle_beta 90.00
_cell_angle_gamma 90.00
loop_
_atom_site_label
_atom_site_fract_x
_atom_site_fract_y
_atom_site_fract_z
Zr1 0.000 0.000 0.000
Cr1 0.500 0.500 0.500
I1 0.000 0.000 0.500
O1 0.000 0.500 0.000